PuMgTlRh (PBE, relaxed); energy above the lowest structure with this stoichiometry = 189 meV/atom; symmetry = F-43m (216)
1.0
4.971 0.000 0.000
2.485 4.305 0.000
2.485 1.435 4.059
Tl Pu Mg Rh
1 1 1 1
Cartesian
0.000 0.000 0.000
2.485 1.435 1.015
7.456 4.305 3.044
4.971 2.870 2.029

PuMgTlRh (PBE, relaxed); energy above the lowest structure with this stoichiometry = 0 meV/atom; symmetry = P4mm (99)
1.0
-1.336 0.196 -2.977
-0.160 -3.262 -0.143
-7.324 0.215 3.300
Pu Tl Rh Mg
1 1 1 1
Cartesian
-6.424 -1.366 0.997
-0.682 0.020 0.307
-4.041 0.118 1.821
-3.420 -1.454 -0.356

TmPuMgRh (PBE, relaxed); symmetry = F-43m (216)
1.0
5.007 0.000 0.000
2.504 4.336 0.000
2.504 1.445 4.088
Mg Tm Rh Pu
1 1 1 1
Cartesian
5.007 2.891 2.044
7.511 4.336 3.066
0.000 0.000 0.000
2.504 1.445 1.022

no.,ΔE_f (eV/atom),DOS(E_F) (states/eV/f.u.),magnetization (μB/cell)
1,-0.088,10.5,5.17
2,-0.277,8.7,5.12
3,-0.217,6.3,5.26